# 1
Density functional theory data (meta-GGA SCAN) for a crystal of BaFeHg2 relaxed with PBEsol.

Unit cell a=3.681 b=3.681 c=7.421 alpha=90.00 beta=90.00 gamma=90.00
Element x y z (fractional)
1 Ba 0.000 0.000 0.000
2 Fe 0.500 0.500 0.338
3 Hg 0.000 0.000 0.438
4 Hg 0.500 0.500 0.695

Values from the calculation:
Calculated formation energy   66 meV/atom
Uncorrected energy   -48.437 eV/atom
Calculated density   9.8 g cm⁻³

***

# 2
Density functional theory data (meta-GGA SCAN) for a crystal of Ba2TlFeHg relaxed with PBEsol.

Unit cell a=6.351 b=6.351 c=4.853 alpha=90.00 beta=90.00 gamma=90.00
Element x y z (fractional)
1 Ba 0.000 0.500 0.000
2 Ba 0.500 0.000 0.000
3 Tl 0.000 0.000 0.500
4 Fe 0.500 0.500 0.500
5 Hg 0.500 0.500 0.000

Values from the calculation:
Calculated formation energy   132 meV/atom
Uncorrected energy   -47.419 eV/atom
Calculated density   6.2 g cm⁻³

***

# 3
Density functional theory data (meta-GGA SCAN) for a crystal of BaHoFe4O7 relaxed with PBEsol.

Unit cell a=6.294 b=6.294 c=6.294 alpha=121.09 beta=121.09 gamma=88.12
Element x y z (fractional)
1 Ba 0.000 0.000 0.000
2 Ho 0.250 0.750 0.500
3 Fe 0.094 0.380 0.748
4 Fe 0.620 0.368 0.714
5 Fe 0.632 0.346 0.252
6 Fe 0.654 0.906 0.286
7 O 0.004 0.504 0.500
8 O 0.025 0.017 0.596
9 O 0.421 0.428 0.404
10 O 0.496 0.996 0.500
11 O 0.500 0.500 0.000
12 O 0.572 0.975 0.993
13 O 0.983 0.579 0.007

Values from the calculation:
Uncorrected energy   -17.929 eV/atom
Calculated density   6.1 g cm⁻³
E_form (uncorrected)   -2.1845 eV per atom

***

# 4
Density functional theory data (meta-GGA SCAN) for a crystal of Ba4Fe2S4I5 relaxed with PBEsol.

Unit cell a=9.929 b=9.929 c=9.929 alpha=93.62 beta=93.62 gamma=150.91
Element x y z (fractional)
1 Ba 0.056 0.748 0.804
2 Ba 0.252 0.056 0.308
3 Ba 0.748 0.944 0.692
4 Ba 0.944 0.252 0.196
5 Fe 0.250 0.750 0.500
6 Fe 0.750 0.250 0.500
7 S 0.097 0.420 0.517
8 S 0.420 0.903 0.322
9 S 0.580 0.097 0.678
10 S 0.903 0.580 0.483
11 I 0.000 0.000 0.000
12 I 0.295 0.634 0.928
13 I 0.366 0.295 0.661
14 I 0.634 0.705 0.339
15 I 0.705 0.366 0.072

Values from the calculation:
Uncorrected energy   -29.380 eV/atom
Calculated density   5.1 g cm⁻³
E_form (uncorrected)   -1.6015 eV per atom

***

# 5
Density functional theory data (meta-GGA SCAN) for a crystal of Ba2TiFeI relaxed with PBEsol.

Unit cell a=5.892 b=5.892 c=4.775 alpha=90.00 beta=90.00 gamma=90.00
Element x y z (fractional)
1 Ba 0.000 0.500 0.000
2 Ba 0.500 0.000 0.000
3 Ti 0.000 0.000 0.500
4 Fe 0.500 0.500 0.000
5 I 0.500 0.500 0.500

Values from the calculation:
Uncorrected energy   -29.357 eV/atom
Calculated density   5.1 g cm⁻³
E_form (uncorrected)   0.6429 eV per atom

***

# 6
Density functional theory data (meta-GGA SCAN) for a crystal of BaInFe2 relaxed with PBEsol.

Unit cell a=3.211 b=3.211 c=7.896 alpha=90.00 beta=90.00 gamma=90.00
Element x y z (fractional)
1 Ba 0.000 0.000 0.000
2 In 0.500 0.500 0.649
3 Fe 0.000 0.000 0.429
4 Fe 0.500 0.500 0.312

Values from the calculation:
Calculated formation energy   270 meV/atom
Uncorrected energy   -27.029 eV/atom
Calculated density   7.4 g cm⁻³

***

# 7
Density functional theory data (meta-GGA SCAN) for a crystal of BaInFe2 relaxed with PBEsol.

Unit cell a=3.182 b=4.584 c=6.457 alpha=90.00 beta=96.72 gamma=90.00
Element x y z (fractional)
1 Ba 0.000 0.000 0.000
2 In 0.500 0.000 0.500
3 Fe 0.263 0.500 0.631
4 Fe 0.737 0.500 0.369

Values from the calculation:
Calculated formation energy   450 meV/atom
Uncorrected energy   -26.849 eV/atom
Calculated density   6.5 g cm⁻³

***

# 8
Density functional theory data (meta-GGA SCAN) for a crystal of BaInFe2 relaxed with PBEsol.

Unit cell a=3.602 b=6.361 c=6.361 alpha=38.04 beta=90.00 gamma=90.00
Element x y z (fractional)
1 Ba 0.000 0.000 0.000
2 In 0.500 0.722 0.722
3 Fe 0.000 0.256 0.256
4 Fe 0.500 0.365 0.365

Values from the calculation:
Calculated formation energy   379 meV/atom
Uncorrected energy   -26.919 eV/atom
Calculated density   6.7 g cm⁻³